No. 1
Computed, not measured: a relaxed Cs3K5Rb3 crystal at the PBE level of DFT.

Cell lengths 13.4006, 13.4006, 7.7608 Å; angles 90.00, 90.00, 120.00 degrees
Last column: nearest neighbours and their distance in Å.
Sites, in units of the cell vectors:
Cs: 0.0000 0.5586 0.0000  2 K 4.61, 2 Rb 4.87
Cs: 0.4414 0.4414 0.0000  2 K 4.61, 2 Rb 4.87
Cs: 0.5586 0.0000 0.0000  2 K 4.61, 2 Rb 4.87
K: 0.0000 0.3732 0.5000  2 K 4.23, 2 Rb 4.36, 2 Cs 4.61
K: 0.3333 0.6667 0.5000  3 K 4.23
K: 0.3732 0.0000 0.5000  2 K 4.23, 2 Rb 4.36, 2 Cs 4.61
K: 0.6268 0.6268 0.5000  2 K 4.23, 2 Rb 4.36, 2 Cs 4.61
K: 0.6667 0.3333 0.5000  3 K 4.23
Rb: 0.0000 0.7780 0.5000  2 K 4.36, 2 Cs 4.87
Rb: 0.2220 0.2220 0.5000  2 K 4.36, 2 Cs 4.87
Rb: 0.7780 0.0000 0.5000  2 K 4.36, 2 Cs 4.87

Properties
Crystal system: hexagonal
N(E_F) (states/eV per cell): 10.54
Offset from the most stable computed form (meV/atom): 0
DFT formation energy (eV/atom): 0.1204



No. 2
Computed, not measured: a relaxed Cs3KRb2 crystal at the PBE level of DFT.

Cell lengths 9.2744, 9.2744, 16.7741 Å; angles 90.00, 90.00, 55.54 degrees
Last column: nearest neighbours and their distance in Å.
Sites, in units of the cell vectors:
Cs: 0.0188 0.9812 0.4998  4 Rb 5.05-5.10, 6 Cs 5.08-5.51, 2 K 5.34-5.54
Cs: 0.3182 0.3537 0.0000  2 K 5.03-5.09, 6 Cs 5.08-5.51, 4 Rb 5.09-5.55
Cs: 0.3537 0.3182 0.5000  2 K 5.03-5.09, 6 Cs 5.08-5.51, 4 Rb 5.09-5.55
Cs: 0.6463 0.6818 0.0000  2 K 5.03-5.09, 6 Cs 5.08-5.51, 4 Rb 5.09-5.55
Cs: 0.6818 0.6463 0.5000  2 K 5.03-5.09, 6 Cs 5.08-5.51, 4 Rb 5.09-5.55
Cs: 0.9812 0.0188 0.9998  4 Rb 5.05-5.10, 6 Cs 5.08-5.51, 2 K 5.34-5.54
K: 0.4006 0.5994 0.7502  6 Cs 5.03-5.54, 6 Rb 5.09-5.49
K: 0.5994 0.4006 0.2502  6 Cs 5.03-5.54, 6 Rb 5.09-5.49
Rb: 0.0680 0.2636 0.7496  6 Cs 5.05-5.55, 3 K 5.09-5.49, 3 Rb 5.13-5.44
Rb: 0.2636 0.0680 0.2496  6 Cs 5.05-5.55, 3 K 5.09-5.49, 3 Rb 5.13-5.44
Rb: 0.7364 0.9320 0.7496  6 Cs 5.05-5.55, 3 K 5.09-5.49, 3 Rb 5.13-5.44
Rb: 0.9320 0.7364 0.2496  6 Cs 5.05-5.55, 3 K 5.09-5.49, 3 Rb 5.13-5.44

Properties
Crystal system: orthorhombic
N(E_F) (states/eV per cell): 12.09
Offset from the most stable computed form (meV/atom): 0
DFT formation energy (eV/atom): 0.0118



No. 3
Computed, not measured: a relaxed Cs2K8Rb crystal at the PBE level of DFT.

Cell lengths 12.4843, 12.4843, 8.7638 Å; angles 91.43, 91.43, 41.59 degrees
Last column: nearest neighbours and their distance in Å.
Sites, in units of the cell vectors:
Cs: 0.2022 0.2022 0.3725  4 K 4.52-5.06, 1 Rb 4.88
Cs: 0.7978 0.7978 0.6275  4 K 4.52-5.06, 1 Rb 4.88
K: 0.1666 0.6576 0.1013  6 K 4.35-4.85, 1 Rb 4.60
K: 0.2579 0.2579 0.8822  7 K 4.47-4.91, 2 Cs 4.52-4.62
K: 0.3424 0.8334 0.8987  6 K 4.35-4.85, 1 Rb 4.60
K: 0.4161 0.4161 0.6067  4 K 4.39-4.85
K: 0.5839 0.5839 0.3933  4 K 4.39-4.85
K: 0.6576 0.1666 0.1013  6 K 4.35-4.85, 1 Rb 4.60
K: 0.7421 0.7421 0.1178  7 K 4.47-4.91, 2 Cs 4.52-4.62
K: 0.8334 0.3424 0.8987  6 K 4.35-4.85, 1 Rb 4.60
Rb: 0.0000 0.0000 0.5000  8 K 4.60-4.95, 2 Cs 4.88

Properties
Crystal system: monoclinic
N(E_F) (states/eV per cell): 8.22
Offset from the most stable computed form (meV/atom): 0
DFT formation energy (eV/atom): 0.0200



No. 4
Computed, not measured: a relaxed CsK2Rb7 crystal at the PBE level of DFT.

Cell lengths 7.8896, 7.8896, 17.1660 Å; angles 90.00, 90.00, 120.00 degrees
Last column: nearest neighbours and their distance in Å.
Sites, in units of the cell vectors:
Cs: 0.0000 0.0000 0.0000  6 Rb 4.74-5.31
K: 0.3333 0.6667 0.8119  10 Rb 4.94-5.30
K: 0.6667 0.3333 0.4290  2 Rb 4.22
Rb: 0.0000 0.0000 0.3319  3 K 4.85, 6 Rb 5.22-5.42
Rb: 0.0000 0.0000 0.6545  3 Rb 4.57
Rb: 0.3333 0.6667 0.1591  3 Rb 4.57
Rb: 0.3333 0.6667 0.5034  4 K 4.73-5.29, 3 Rb 5.24
Rb: 0.6667 0.3333 0.1834  1 K 4.22, 4 Rb 4.47-4.57
Rb: 0.6667 0.3333 0.6749  1 K 4.22, 4 Rb 4.26-4.57
Rb: 0.6667 0.3333 0.9231  2 Rb 4.26-4.47, 3 Cs 4.74

Properties
Crystal system: trigonal
N(E_F) (states/eV per cell): 9.66
Offset from the most stable computed form (meV/atom): 14
DFT formation energy (eV/atom): 0.0425